Entry 1:
Computed, not measured: crystalline La3Be at its relaxed geometry at the PBE level of DFT.

Geometry as extended XYZ:
```
4
Lattice="-4.3012 4.2424 0.9846 0.1726 -2.3798 -5.6369 0.9939 -3.9216 4.5935" Properties=species:S:1:pos:R:3 pbc="T T T"
Be 0.0000 0.0000 0.0000
La -1.6537 0.1604 2.7891
La -2.0643 0.9313 -2.3261
La 0.5833 -3.1507 -0.5217
```

Properties
Energy relative to the elements (eV/atom): 0.3479
Energy relative to the lowest polymorph listed for this composition (eV/atom): 0.235
Symmetry: No. 166
Calculated total energy (eV per atom): -4.2792
Calculated density (g/cm³): 6.06

Entry 2:
Computed, not measured: crystalline LaBe3 at its relaxed geometry at the PBE level of DFT.

Geometry as extended XYZ:
```
4
Lattice="-2.0937 3.9697 0.1905 -2.9574 -1.4230 -3.0671 0.6497 -2.3740 3.7577" Properties=species:S:1:pos:R:3 pbc="T T T"
Be -2.4166 -1.2618 -0.3739
Be -2.5255 1.2734 -1.4383
Be -1.9848 1.4345 1.2549
La 0.0000 0.0000 0.0000
```

Properties
Energy relative to the elements (eV/atom): 0.3971
Energy relative to the lowest polymorph listed for this composition (eV/atom): 0.408
Symmetry: No. 139
Calculated total energy (eV per atom): -3.6294
Calculated density (g/cm³): 4.29

Entry 3:
Computed, not measured: crystalline La2Be at its relaxed geometry at the PBE level of DFT.

Geometry as extended XYZ:
```
12
Lattice="-4.7855 -4.9296 -1.8342 1.0629 1.5448 6.8594 -5.3087 5.2908 -0.3689" Properties=species:S:1:pos:R:3 pbc="T T T"
Be -1.4120 -0.0897 3.9250
Be -6.0159 0.3976 0.8427
Be -7.6193 1.9956 0.7312
Be -3.0155 1.5084 3.8136
La 0.0000 0.0000 0.0000
La -2.6544 2.6454 -0.1845
La -4.5546 -1.7195 2.7200
La -4.4768 3.6255 1.9362
La -2.9114 -0.2255 0.5019
La -5.0237 -2.4014 -0.3077
La -4.0076 4.3073 4.9639
La -6.1199 2.1314 4.1543
```

Properties
Energy relative to the elements (eV/atom): 0.5802
Energy relative to the lowest polymorph listed for this composition (eV/atom): 0.440
Symmetry: No. 194
Calculated total energy (eV per atom): -3.9468
Calculated density (g/cm³): 5.80

Entry 4:
Computed, not measured: crystalline La3Be5 at its relaxed geometry at the PBE level of DFT.

Geometry as extended XYZ:
```
16
Lattice="-4.8443 -4.9316 6.6988 -2.0969 -1.2022 -9.3177 2.6288 -2.8809 -0.2199" Properties=species:S:1:pos:R:3 pbc="T T T"
Be -3.0127 -2.4453 -3.9789
Be -2.6141 -5.1289 1.2500
Be -3.9285 -3.6885 1.3600
Be -1.6983 -3.8858 -4.0888
Be 0.0363 -1.3523 0.8036
Be -2.2518 -6.4602 5.6753
Be 0.3884 -0.8743 -1.2492
Be -5.3943 -6.0679 -2.3382
Be 1.0820 -2.9468 -0.5006
Be 0.1435 -3.2088 -8.2884
La -2.4294 -3.8624 4.2132
La 0.2139 -3.9501 2.2657
La -0.6788 -1.4862 -5.9918
La -1.8613 -2.9458 -1.0052
La -2.4510 -6.0689 -1.8336
La 1.2108 -2.5969 -3.5458
```

Properties
Energy relative to the elements (eV/atom): 0.1748
Energy relative to the lowest polymorph listed for this composition (eV/atom): 0.000
Symmetry: No. 193
Calculated total energy (eV per atom): -4.0018
Calculated density (g/cm³): 4.89

Entry 5:
Computed, not measured: crystalline LaBe2 at its relaxed geometry at the PBE level of DFT.

Geometry as extended XYZ:
```
6
Lattice="-4.9616 0.0384 3.6223 -4.4056 4.1658 -0.9882 3.2564 -4.0702 -3.2510" Properties=species:S:1:pos:R:3 pbc="T T T"
La -7.0254 3.1531 1.9756
La -2.3418 1.0510 0.6585
Be -5.0617 0.7405 2.1457
Be -1.0491 -0.6065 -2.7626
Be -0.7602 -1.3298 -0.5808
Be -5.3506 1.4638 -0.0361
```

Properties
Energy relative to the elements (eV/atom): 0.2407
Energy relative to the lowest polymorph listed for this composition (eV/atom): 0.165
Symmetry: No. 140
Calculated total energy (eV per atom): -3.8860
Calculated density (g/cm³): 5.09

Entry 6:
Computed, not measured: crystalline La3Be at its relaxed geometry at the PBE level of DFT.

Geometry as extended XYZ:
```
4
Lattice="3.6913 0.0084 0.0000 -0.0085 3.6913 0.0000 0.0000 0.0000 8.8370" Properties=species:S:1:pos:R:3 pbc="T T T"
Be 0.0000 0.0000 0.0000
La 1.8414 1.8499 7.2065
La 0.0000 0.0000 4.4185
La 1.8414 1.8499 1.6305
```

Properties
Energy relative to the elements (eV/atom): 0.1127
Energy relative to the lowest polymorph listed for this composition (eV/atom): 0.000
Symmetry: No. 123
Calculated total energy (eV per atom): -4.5145
Calculated density (g/cm³): 5.87

Entry 7:
Computed, not measured: crystalline La4Be at its relaxed geometry at the PBE level of DFT.

Geometry as extended XYZ:
```
5
Lattice="-2.0820 2.0820 9.7763 2.0820 -2.0820 9.7763 2.0820 2.0820 -9.7763" Properties=species:S:1:pos:R:3 pbc="T T T"
La 0.0000 2.0820 4.8882
La 2.0820 0.0000 4.8882
La 0.0000 0.0000 11.2801
La 0.0000 0.0000 8.2725
Be 0.0000 0.0000 0.0000
```

Properties
Energy relative to the elements (eV/atom): 0.5586
Energy relative to the lowest polymorph listed for this composition (eV/atom): 0.282
Symmetry: No. 139
Calculated total energy (eV per atom): -4.1286
Calculated density (g/cm³): 5.53

Entry 8:
Computed, not measured: crystalline La2Be at its relaxed geometry at the PBE level of DFT.

Geometry as extended XYZ:
```
3
Lattice="-1.8427 -3.9797 -2.0561 3.1184 -0.4000 3.6846 -2.9158 0.0711 2.4755" Properties=species:S:1:pos:R:3 pbc="T T T"
Be 0.0000 0.0000 0.0000
La -2.1761 -2.7380 1.5445
La 0.5361 -1.5706 2.5594
```

Properties
Energy relative to the elements (eV/atom): 0.2310
Energy relative to the lowest polymorph listed for this composition (eV/atom): 0.091
Symmetry: No. 164
Calculated total energy (eV per atom): -4.2960
Calculated density (g/cm³): 6.13

Entry 9:
Computed, not measured: crystalline LaBe3 at its relaxed geometry at the PBE level of DFT.

Geometry as extended XYZ:
```
4
Lattice="2.8734 0.0072 0.0000 -0.0056 2.8734 0.0000 0.0000 0.0000 6.9602" Properties=species:S:1:pos:R:3 pbc="T T T"
Be 0.0000 0.0000 6.3349
Be 1.4339 1.4403 5.2202
Be 0.0000 0.0000 4.1054
La 1.4339 1.4403 1.7401
```

Properties
Energy relative to the elements (eV/atom): 0.3652
Energy relative to the lowest polymorph listed for this composition (eV/atom): 0.376
Symmetry: No. 123
Calculated total energy (eV per atom): -3.6613
Calculated density (g/cm³): 4.79

Entry 10:
Computed, not measured: crystalline La3Be at its relaxed geometry at the PBE level of DFT.

Geometry as extended XYZ:
```
8
Lattice="3.5992 -6.2341 0.0000 3.5992 6.2341 0.0000 0.0000 0.0000 5.0503" Properties=species:S:1:pos:R:3 pbc="T T T"
La 5.2123 -1.1467 1.2626
La 1.9862 -1.1467 1.2626
La 3.5992 -3.9406 1.2626
La 1.9862 1.1467 3.7877
La 5.2123 1.1467 3.7877
La 3.5992 3.9406 3.7877
Be 3.5992 2.0780 1.2626
Be 3.5992 -2.0780 3.7877
```

Properties
Energy relative to the elements (eV/atom): 0.1924
Energy relative to the lowest polymorph listed for this composition (eV/atom): 0.080
Symmetry: No. 194
Calculated total energy (eV per atom): -4.4347
Calculated density (g/cm³): 6.24

Entry 11:
Computed, not measured: crystalline La3Be5 at its relaxed geometry at the PBE level of DFT.

Geometry as extended XYZ:
```
8
Lattice="3.3859 -5.2107 0.0000 3.3859 5.2107 0.0000 0.0000 0.0000 4.6061" Properties=species:S:1:pos:R:3 pbc="T T T"
La 3.3859 0.0000 0.0000
La 3.3859 -2.7788 2.3031
La 3.3859 2.7788 2.3031
Be 0.0000 0.0000 0.0000
Be 1.6930 2.6053 0.0000
Be 1.6930 -2.6053 0.0000
Be 1.2787 0.0000 2.3031
Be 5.4931 0.0000 2.3031
```

Properties
Energy relative to the elements (eV/atom): 0.4575
Energy relative to the lowest polymorph listed for this composition (eV/atom): 0.283
Symmetry: No. 65
Calculated total energy (eV per atom): -3.7192
Calculated density (g/cm³): 4.72

Entry 12:
Computed, not measured: crystalline La3Be at its relaxed geometry at the PBE level of DFT.

Geometry as extended XYZ:
```
4
Lattice="10.6254 -0.0284 -0.0167 9.9829 3.6389 -0.0167 9.9829 1.7490 3.1911" Properties=species:S:1:pos:R:3 pbc="T T T"
Be 0.0000 0.0000 0.0000
La 8.1659 1.4307 0.8429
La 15.2956 2.6797 1.5788
La 22.4252 3.9288 2.3147
```

Properties
Energy relative to the elements (eV/atom): 0.2587
Energy relative to the lowest polymorph listed for this composition (eV/atom): 0.146
Symmetry: No. 166
Calculated total energy (eV per atom): -4.3684
Calculated density (g/cm³): 5.66

Entry 13:
Computed, not measured: crystalline La3Be at its relaxed geometry at the PBE level of DFT.

Geometry as extended XYZ:
```
4
Lattice="-1.9648 1.4385 2.9468 1.0303 -3.6813 0.0045 8.7106 2.4436 4.6152" Properties=species:S:1:pos:R:3 pbc="T T T"
Be 0.0000 0.0000 0.0000
La 4.3553 1.2218 2.3076
La 0.7472 0.2127 2.8740
La 6.0305 1.6948 5.6732
```

Properties
Energy relative to the elements (eV/atom): 0.2883
Energy relative to the lowest polymorph listed for this composition (eV/atom): 0.176
Symmetry: No. 187
Calculated total energy (eV per atom): -4.3389
Calculated density (g/cm³): 5.50

Entry 14:
Computed, not measured: crystalline LaBe3 at its relaxed geometry at the PBE level of DFT.

Geometry as extended XYZ:
```
4
Lattice="3.8234 0.0000 0.0000 0.0000 4.0777 -0.0471 0.0000 0.5546 4.4907" Properties=species:S:1:pos:R:3 pbc="T T T"
Be 0.0000 4.4547 3.4718
Be 1.9117 3.4743 3.3327
Be 0.0000 2.4938 3.1936
La 1.9117 1.1581 1.1109
```

Properties
Energy relative to the elements (eV/atom): 0.2657
Energy relative to the lowest polymorph listed for this composition (eV/atom): 0.277
Symmetry: No. 10
Calculated total energy (eV per atom): -3.7608
Calculated density (g/cm³): 3.93